This record from Alexandria via LeMat-Bulk describes a geometry-optimized Ba3AsI3 structure. The functional is PBE-GGA.

Cell lengths 9.4709, 10.1436, 14.5148 Å; angles 90.00, 90.00, 90.00 degrees
Space group Imma (No. 74)
Unique sites:
Ba 0.0000 0.2500 0.0083
Ba 0.2500 0.0383 0.2500
As 0.0000 0.2500 0.2233
I 0.0000 0.2500 0.7572
I 0.2433 0.0000 0.5000

Output
Its uncorrected formation energy is -1.560 eV per atom. The value obtained for the magnetization is 0.00 μB per cell. The value obtained for the energy is -103.9 eV per cell.